First-principles (PBE) data for crystalline MnCu6Au5 at its relaxed geometry, as listed in the Alexandria database.

The structure in CIF format:
```
data_MnCu6Au5
_cell_length_a 3.964
_cell_length_b 7.503
_cell_length_c 11.964
_cell_angle_alpha 90.00
_cell_angle_beta 90.00
_cell_angle_gamma 90.00
_space_group_name_H-M_alt 'I m m m'
_space_group_IT_number 71
_space_group_name_Hall '-I 2 2'
loop_
_atom_site_label
_atom_site_type_symbol
_atom_site_fract_x
_atom_site_fract_y
_atom_site_fract_z
_atom_site_occupancy
Mn1 Mn 0.000 0.000 0.000 1
Cu1 Cu 0.000 0.249 0.165 1
Cu2 Cu 0.000 0.249 0.500 1
Au1 Au 0.000 0.000 0.330 1
Au2 Au 0.000 0.500 0.000 1
Au3 Au 0.000 0.500 0.342 1
```


First-principles (PBE) data for crystalline Mn2Cu3Au8 at its relaxed geometry, as listed in the Alexandria database.

distance to the lowest polymorph of the same formula: 3.1 kJ per mole of atoms

The structure in CIF format:
```
data_Mn2Cu3Au8
_cell_length_a 11.753
_cell_length_b 8.902
_cell_length_c 4.478
_cell_angle_alpha 90.00
_cell_angle_beta 90.07
_cell_angle_gamma 90.00
_space_group_name_H-M_alt 'C 1 2/m 1'
_space_group_IT_number 12
loop_
_space_group_symop_operation_xyz
'x,y,z'
'-x,-y,-z'
'-x,y,-z'
'x,-y,z'
'x+1/2,y+1/2,z'
'-x+1/2,-y+1/2,-z'
'-x+1/2,y+1/2,-z'
'x+1/2,-y+1/2,z'
loop_
_atom_site_label
_atom_site_type_symbol
_atom_site_fract_x
_atom_site_fract_y
_atom_site_fract_z
_atom_site_occupancy
Mn1 Mn 0.248 0.000 0.001 1
Cu1 Cu 0.000 0.000 0.000 1
Cu2 Cu 0.000 0.249 0.500 1
Au1 Au 0.123 0.500 0.499 1
Au2 Au 0.124 0.257 0.000 1
Au3 Au 0.127 0.000 0.500 1
```


First-principles (PBE) data for crystalline Mn3CuAu6 at its relaxed geometry, as listed in the Alexandria database.

The structure in CIF format:
```
data_Mn3CuAu6
_cell_length_a 9.8204
_cell_length_b 9.8204
_cell_length_c 12.4739
_cell_angle_alpha 90.00
_cell_angle_beta 90.00
_cell_angle_gamma 120.00
_space_group_name_H-M_alt 'R -3'
_space_group_IT_number 148
_space_group_name_Hall '-R 3'
loop_
_atom_site_label
_atom_site_type_symbol
_atom_site_fract_x
_atom_site_fract_y
_atom_site_fract_z
_atom_site_occupancy
Mn1 Mn 0.0700 0.2595 0.4213 1
Cu1 Cu 0.0000 0.0000 0.0000 1
Cu2 Cu 0.0000 0.0000 0.5000 1
Au1 Au 0.0145 0.5743 0.7057 1
Au2 Au 0.0274 0.8465 0.8060 1
```


First-principles (PBE) data for crystalline MnCuAu2 at its relaxed geometry, as listed in the Alexandria database.

The structure in CIF format:
```
data_MnCuAu2
_cell_length_a 2.9564
_cell_length_b 2.9564
_cell_length_c 25.7263
_cell_angle_alpha 90.00
_cell_angle_beta 90.00
_cell_angle_gamma 120.00
_space_group_name_H-M_alt 'R 3 m'
_space_group_IT_number 160
_space_group_name_Hall 'R 3 -2"'
loop_
_atom_site_label
_atom_site_type_symbol
_atom_site_fract_x
_atom_site_fract_y
_atom_site_fract_z
_atom_site_occupancy
Mn1 Mn 0.0000 0.0000 0.0000 1
Cu1 Cu 0.0000 0.0000 0.2590 1
Au1 Au 0.0000 0.0000 0.5109 1
Au2 Au 0.0000 0.0000 0.7497 1
```


For each record above, in turn, the calculated total magnetization values are 3.94 8.28 12.65 4.02 μB/f.u..
For each record above, in turn, the calculated energy of formation from the pure elements values are -0.3 1.0 0.9 0.5 eV/f.u..